1.
Density functional theory data (PBE) for a relaxed structure of Tm2MgRh4.

Lattice parameters (Å, degrees): 7.839 7.839 7.839 33.37 33.37 33.37
Atoms (fractional coordinates):
Tm  0.245  0.245  0.245
Tm  0.755  0.755  0.755
Mg  0.000  0.000  0.000
Rh  0.123  0.123  0.123
Rh  0.374  0.374  0.374
Rh  0.626  0.626  0.626
Rh  0.877  0.877  0.877

Output
The calculation puts the energy relative to the elements at -0.475 eV/atom. The space group is R-3m. The calculation puts the volume at 130 Å³ per cell.



2.
Density functional theory data (PBE) for a relaxed structure of Ho3ErBi3.

Lattice parameters (Å, degrees): 9.338 9.338 9.338 90.00 90.00 90.00
Atoms (fractional coordinates):
Ho  0.073  0.427  0.573
Ho  0.176  0.176  0.176
Ho  0.176  0.824  0.324
Ho  0.324  0.176  0.824
Ho  0.324  0.824  0.676
Ho  0.427  0.573  0.073
Ho  0.573  0.073  0.427
Ho  0.676  0.324  0.824
Ho  0.676  0.676  0.676
Ho  0.824  0.324  0.176
Ho  0.824  0.676  0.324
Ho  0.927  0.927  0.927
Er  0.074  0.574  0.926
Er  0.426  0.426  0.426
Er  0.574  0.926  0.074
Er  0.926  0.074  0.574
Bi  0.000  0.251  0.875
Bi  0.000  0.751  0.625
Bi  0.125  0.500  0.249
Bi  0.249  0.125  0.500
Bi  0.251  0.875  0.000
Bi  0.375  0.500  0.749
Bi  0.500  0.249  0.125
Bi  0.500  0.749  0.375
Bi  0.625  0.000  0.751
Bi  0.749  0.375  0.500
Bi  0.751  0.625  0.000
Bi  0.875  0.000  0.251

Output
The calculation puts the energy relative to the elements at -0.693 eV/atom. The space group is P2_13. The calculation puts the volume at 814 Å³ per cell.



3.
Density functional theory data (PBE) for a relaxed structure of PaTlCd.

Lattice parameters (Å, degrees): 5.224 5.224 3.173 90.00 90.00 120.00
Atoms (fractional coordinates):
Pa  0.000  0.000  0.000
Tl  0.333  0.667  0.502
Cd  0.667  0.333  0.499

Output
The calculation puts the energy relative to the elements at 0.173 eV/atom. The space group is P3m1. The calculation puts the volume at 75 Å³ per cell.



4.
Density functional theory data (PBE) for a relaxed structure of Na15Tl.

Lattice parameters (Å, degrees): 7.327 7.327 12.113 90.00 90.00 120.00
Atoms (fractional coordinates):
Na  0.000  0.000  0.000
Na  0.003  0.502  0.500
Na  0.323  0.161  0.260
Na  0.323  0.161  0.740
Na  0.333  0.667  0.244
Na  0.333  0.667  0.756
Na  0.498  0.502  0.500
Na  0.498  0.997  0.500
Na  0.502  0.004  0.000
Na  0.502  0.498  0.000
Na  0.839  0.161  0.260
Na  0.839  0.161  0.740
Na  0.839  0.677  0.260
Na  0.839  0.677  0.740
Na  0.996  0.498  0.000
Tl  0.000  0.000  0.500

Output
The calculation puts the energy relative to the elements at -0.009 eV/atom. The space group is P-6m2. The calculation puts the volume at 563 Å³ per cell.